No. 1
Density functional theory data (GGA-PBE) for crystalline CaSiO3 at its relaxed geometry.

Computed properties:
ρ = 2.82 g cm⁻³
E_form (uncorrected) = -3009 meV per atom

a = 6.9073 Å, b = 6.9073 Å, c = 10.6157 Å
α = 108.29°, β = 108.29°, γ = 60.25°
Fractional coordinates of all 30 atoms:
Ca 0.0000 0.5000 0.0000
Ca 0.1508 0.6735 0.5010
Ca 0.3265 0.8492 0.9990
Ca 0.5000 0.0000 0.5000
Ca 0.6735 0.1508 0.0010
Ca 0.8492 0.3265 0.4990
Si 0.1604 0.8396 0.2500
Si 0.3250 0.4193 0.7553
Si 0.4193 0.3250 0.2553
Si 0.5807 0.6750 0.7447
Si 0.6750 0.5807 0.2447
Si 0.8396 0.1604 0.7500
O 0.0068 0.8934 0.1052
O 0.1066 0.9932 0.3948
O 0.1709 0.3718 0.6119
O 0.1948 0.5821 0.2525
O 0.2756 0.4679 0.9034
O 0.3577 0.6423 0.7500
O 0.3718 0.1709 0.1119
O 0.4179 0.8052 0.2475
O 0.4679 0.2756 0.4034
O 0.5321 0.7244 0.5966
O 0.5821 0.1948 0.7525
O 0.6282 0.8291 0.8881
O 0.6423 0.3577 0.2500
O 0.7244 0.5321 0.0966
O 0.8052 0.4179 0.7475
O 0.8291 0.6282 0.3881
O 0.8934 0.0068 0.6052
O 0.9932 0.1066 0.8948



No. 2
Density functional theory data (GGA-PBE) for crystalline Ca2SiO4 at its relaxed geometry.

Computed properties:
ρ = 3.03 g cm⁻³
E above lowest polymorph = 40 meV/atom
E_form (uncorrected) = -3039 meV per atom

a = 5.4218 Å, b = 7.0426 Å, c = 5.4779 Å
α = 90.00°, β = 115.59°, γ = 90.00°
Fractional coordinates of all 14 atoms:
Ca 0.0000 0.0000 0.0000
Ca 0.0000 0.5000 0.0000
Ca 0.3133 0.2500 0.6670
Ca 0.6867 0.7500 0.3330
Si 0.3503 0.7500 0.6511
Si 0.6497 0.2500 0.3489
O 0.2342 0.7500 0.3140
O 0.2453 0.5608 0.7512
O 0.2453 0.9392 0.7512
O 0.3097 0.2500 0.2307
O 0.6903 0.7500 0.7693
O 0.7547 0.0608 0.2488
O 0.7547 0.4392 0.2488
O 0.7658 0.2500 0.6860



No. 3
Density functional theory data (GGA-PBE) for crystalline CaSiO3 at its relaxed geometry.

Computed properties:
ρ = 2.94 g cm⁻³
E_form (uncorrected) = -2983 meV per atom

a = 7.0717 Å, b = 7.0717 Å, c = 5.4756 Å
α = 101.76°, β = 101.76°, γ = 86.00°
Fractional coordinates of all 20 atoms:
Ca 0.0989 0.9011 0.7500
Ca 0.2988 0.7012 0.2500
Ca 0.7012 0.2988 0.7500
Ca 0.9011 0.0989 0.2500
Si 0.1982 0.3763 0.7639
Si 0.3763 0.1982 0.2639
Si 0.6237 0.8018 0.7361
Si 0.8018 0.6237 0.2361
O 0.0258 0.2230 0.6732
O 0.1374 0.6003 0.8369
O 0.2230 0.0258 0.1732
O 0.3364 0.3464 0.5385
O 0.3464 0.3364 0.0385
O 0.3997 0.8626 0.6631
O 0.6003 0.1374 0.3369
O 0.6536 0.6636 0.9615
O 0.6636 0.6536 0.4615
O 0.7770 0.9742 0.8268
O 0.8626 0.3997 0.1631
O 0.9742 0.7770 0.3268